(1)
LaAs3 PBE relaxed; formation enthalpy at 0 K = -2.4 eV/f.u.; size of the total moment = 0.0 Bohr magnetons per cell
1.0
6.238 0.000 0.000
-3.119 5.402 0.000
0.000 0.000 10.576
La As
4 12
Direct
0.000 0.000 0.000
0.000 0.000 0.500
0.333 0.667 0.250
0.667 0.333 0.750
0.000 0.500 0.000
0.000 0.500 0.500
0.179 0.359 0.750
0.179 0.821 0.750
0.359 0.179 0.250
0.500 0.000 0.000
0.500 0.000 0.500
0.500 0.500 0.000
0.500 0.500 0.500
0.641 0.821 0.750
0.821 0.179 0.250
0.821 0.641 0.250

=====

(2)
Sr6Tl2Cl PBE relaxed; size of the total moment = 1.5 Bohr magnetons per cell; formation energy from raw total energies = -527 kJ/mol of formula units
1.0
7.464 0.000 0.000
0.000 8.870 0.000
-7.359 0.000 11.114
Sr Tl Cl
12 4 2
Direct
0.096 0.180 0.435
0.096 0.320 0.935
0.275 0.674 0.437
0.275 0.826 0.937
0.366 0.037 0.240
0.366 0.463 0.740
0.634 0.537 0.260
0.634 0.963 0.760
0.725 0.174 0.063
0.725 0.326 0.563
0.904 0.680 0.065
0.904 0.820 0.565
0.204 0.111 0.748
0.204 0.389 0.248
0.796 0.611 0.752
0.796 0.889 0.252
0.500 0.000 0.500
0.500 0.500 0.000

=====

(3)
Pr6AsIr2Se3 PBE relaxed; size of the total moment = 0.0 Bohr magnetons per cell; formation energy from raw total energies = -1573 kJ/mol of formula units
1.0
9.427 -2.107 0.000
9.427 2.107 0.000
-2.356 0.000 8.405
Pr As Ir Se
6 1 2 3
Direct
0.009 0.009 0.249
0.328 0.328 0.427
0.333 0.333 0.894
0.667 0.667 0.106
0.672 0.672 0.573
0.991 0.991 0.751
0.500 0.500 0.000
0.168 0.168 0.336
0.832 0.832 0.664
0.162 0.162 0.839
0.500 0.500 0.500
0.838 0.838 0.161

=====

Number 1: density of states at the Fermi level 0.64 states/eV per atom, total DFT energy (no corrections) -5.318 eV/atom. Number 2: density of states at the Fermi level 0.71 states/eV per atom, total DFT energy (no corrections) -2.460 eV/atom. Number 3: density of states at the Fermi level 0.44 states/eV per atom, total DFT energy (no corrections) -6.484 eV/atom.